# SnHg2As2

A geometry-optimized SnHg2As2 structure (PBE, Alexandria via LeMat-Bulk).

POSCAR file:
```
SnHg2As2
1.0
-1.494 0.440 -3.415
0.048 -3.719 -0.501
-8.909 -2.217 1.550
As Hg Sn
2 2 1
direct
0.250 0.750 0.500
0.750 0.250 0.500
0.396 0.396 0.207
0.604 0.604 0.793
0.000 0.000 0.000
```

ρ = 8.847 g/cm3
VASP energy = -2.5769 eV/atom
polymorph energy (0 for the lowest one) = 0.027 eV per atom
symmetry = I4/mmm
magnetization = 0.000 Bohr magnetons per cell